1.
## KAlPb2 (PBE)

Data for a geometry-optimized KAlPb2 structure.

The total energy comes out at -2.970 eV per atom. Its total magnetization is 0.0 μB/f.u. As for the crystal system: monoclinic.

abc: 5.5642 5.5642 7.2872
angles: 97.85 97.85 36.60
Fractional positions:
K 0.0000 0.0000 0.0000
Al 0.2546 0.2546 0.6673
Pb 0.5123 0.5123 0.5374
Pb 0.7605 0.7605 0.3140

2.
## KAlPb2 (PBE)

Data for a geometry-optimized KAlPb2 structure.

The total energy comes out at -2.862 eV per atom. Its total magnetization is 0.0 μB/f.u. As for the crystal system: tetragonal.

abc: 10.3360 10.3360 10.3360
angles: 148.52 148.52 45.12
Fractional positions:
K 0.0000 0.0000 0.0000
K 0.7500 0.2500 0.5000
Al 0.2500 0.7500 0.5000
Al 0.5000 0.5000 0.0000
Pb 0.2214 0.6250 0.0964
Pb 0.3750 0.4714 0.5964
Pb 0.5286 0.1250 0.9036
Pb 0.8750 0.7786 0.4036

3.
## KAl3Pb (PBE)

Data for a geometry-optimized KAl3Pb structure.

The value obtained for the energy above the most stable polymorph in this dataset is 0 meV per atom. Its total magnetization is 0.0 μB/f.u. As for the crystal system: cubic.

abc: 5.6644 5.6644 5.6644
angles: 90.00 90.00 90.00
Fractional positions:
K 0.0000 0.0000 0.0000
Al 0.0000 0.5000 0.5000
Al 0.5000 0.0000 0.5000
Al 0.5000 0.5000 0.0000
Pb 0.5000 0.5000 0.5000

4.
## KAlPb2 (PBE)

Data for a geometry-optimized KAlPb2 structure.

The total energy comes out at -3.034 eV per atom. Its total magnetization is 0.0 μB/f.u. As for the crystal system: monoclinic.

abc: 5.0496 5.0496 7.3852
angles: 99.63 99.63 45.99
Fractional positions:
K 0.0000 0.0000 0.0000
Al 0.5000 0.5000 0.5000
Pb 0.2359 0.2359 0.6711
Pb 0.7641 0.7641 0.3289

5.
## KAl2Pb2 (PBE)

Data for a geometry-optimized KAl2Pb2 structure.

The value obtained for the energy above the most stable polymorph in this dataset is 144 meV per atom. Its total magnetization is 0.0 μB/f.u. As for the crystal system: tetragonal.

abc: 8.8593 8.8593 3.5534
angles: 90.00 90.00 90.00
Fractional positions:
K 0.0000 0.0000 0.0000
K 0.5000 0.5000 0.0000
Al 0.1175 0.3825 0.0000
Al 0.3825 0.8825 0.0000
Al 0.6175 0.1175 0.0000
Al 0.8825 0.6175 0.0000
Pb 0.1670 0.6670 0.5000
Pb 0.3330 0.1670 0.5000
Pb 0.6670 0.8330 0.5000
Pb 0.8330 0.3330 0.5000

6.
## K2AlPb (PBE)

Data for a geometry-optimized K2AlPb structure.

The value obtained for the energy above the most stable polymorph in this dataset is 119 meV per atom. Its total magnetization is 0.0 μB/f.u. As for the crystal system: monoclinic.

abc: 5.6787 5.6787 5.6980
angles: 119.75 119.75 89.95
Fractional positions:
K 0.0000 0.0000 0.0000
K 0.7500 0.2500 0.5000
Al 0.2497 0.7503 0.5000
Pb 0.5003 0.4997 0.0000